No. 1
VASP calculation (PBE-GGA) on a relaxed PuAlAu4 crystal.

## Properties
DFT total energy: -66.9 eV/cell
Crystal system: monoclinic
Calculated formation energy: -0.37 eV/atom
Mass density: 14.36 g/cm³
Symmetry: C2/m

abc: 6.414 5.926 7.440
angles: 113.47 107.62 90.00
Each line ends with the local moment (μB).
Fractional positions:
Au 0.305 0.649 0.778  0.00
Au 0.858 0.301 0.602  0.01
Au 0.142 0.699 0.398  0.01
Au 0.000 0.236 0.000  0.00
Pu 0.329 0.192 0.383  5.32
Al 0.349 0.560 0.120  -0.01
Au 0.000 0.764 0.000  0.00
Al 0.651 0.440 0.880  -0.01
Au 0.695 0.871 0.222  0.00
Au 0.305 0.129 0.778  0.00
Au 0.695 0.351 0.222  0.00
Pu 0.671 0.808 0.617  5.32

=====

No. 2
VASP calculation (PBE-GGA) on a relaxed NiGe4 crystal.

## Properties
DFT total energy: -22.6 eV/cell
Crystal system: cubic
Calculated formation energy: 0.33 eV/atom
Mass density: 5.91 g/cm³
Symmetry: Pm-3m

abc: 4.612 4.612 4.612
angles: 90.00 90.00 90.00
Fractional positions:
Ge 0.000 0.500 0.500
Ge 0.000 0.000 0.000
Ni 0.500 0.500 0.500
Ge 0.500 0.000 0.500
Ge 0.500 0.500 0.000

=====

No. 3
VASP calculation (PBE-GGA) on a relaxed Pm6GaTc2Br3 crystal.

## Properties
DFT total energy: -64.8 eV/cell
Formation energy without anion corrections: -626 meV per atom
Crystal system: monoclinic
Mass density: 6.58 g/cm³
Symmetry: C2/m

abc: 6.984 6.984 8.241
angles: 98.68 98.68 115.73
Fractional positions:
Pm 0.295 0.295 0.819
Tc 0.315 0.685 0.000
Br 0.165 0.835 0.500
Pm 0.096 0.441 0.212
Tc 0.685 0.315 0.000
Br 0.835 0.165 0.500
Ga 0.000 0.000 0.000
Pm 0.441 0.096 0.212
Br 0.500 0.500 0.500
Pm 0.904 0.559 0.788
Pm 0.559 0.904 0.788
Pm 0.705 0.705 0.181

=====

No. 4
VASP calculation (PBE-GGA) on a relaxed Y2AlCu3 crystal.

## Properties
DFT total energy: -61.7 eV/cell
Crystal system: hexagonal
Calculated formation energy: -0.32 eV/atom
Mass density: 6.11 g/cm³
Symmetry: P6_3/mmc

abc: 5.431 5.431 8.409
angles: 90.00 90.00 120.00
Fractional positions:
Cu 0.834 0.166 0.750
Y 0.333 0.667 0.552
Cu 0.668 0.834 0.250
Y 0.333 0.667 0.948
Al 0.000 0.000 0.500
Cu 0.332 0.166 0.750
Cu 0.166 0.834 0.250
Cu 0.166 0.332 0.250
Cu 0.834 0.668 0.750
Y 0.667 0.333 0.448
Al 0.000 0.000 0.000
Y 0.667 0.333 0.052

=====

No. 5
VASP calculation (PBE-GGA) on a relaxed ZrUV4 crystal.

## Properties
DFT total energy: -55.4 eV/cell
Crystal system: cubic
Calculated formation energy: 0.15 eV/atom
Mass density: 8.95 g/cm³
Symmetry: F-43m

abc: 5.192 5.192 5.192
angles: 60.00 60.00 60.00
Fractional positions:
Zr 0.000 0.000 0.000
V 0.624 0.624 0.129
V 0.129 0.624 0.624
V 0.624 0.624 0.624
U 0.250 0.250 0.250
V 0.624 0.129 0.624

=====

No. 6
VASP calculation (PBE-GGA) on a relaxed Pu3Zn5Ga2 crystal.

## Properties
DFT total energy: -112.6 eV/cell
Crystal system: orthorhombic
Calculated formation energy: -0.09 eV/atom
Mass density: 9.83 g/cm³
Symmetry: Ibam

abc: 5.896 8.808 8.808
angles: 79.48 70.45 70.45
Each line ends with the local moment (μB).
Fractional positions:
Pu 0.250 0.000 0.000  -5.44
Zn 0.250 0.500 0.500  0.00
Pu 0.384 0.366 0.867  -5.39
Ga 0.851 0.305 0.992  0.04
Ga 0.649 0.008 0.695  0.04
Zn 0.376 0.752 0.495  -0.01
Zn 0.624 0.248 0.505  -0.01
Zn 0.750 0.500 0.500  0.00
Zn 0.503 0.747 0.747  0.01
Pu 0.750 0.000 0.000  -5.44
Zn 0.876 0.495 0.752  -0.01
Pu 0.884 0.867 0.366  -5.39
Pu 0.116 0.133 0.634  -5.39
Zn 0.497 0.253 0.253  0.01
Ga 0.351 0.992 0.305  0.04
Ga 0.149 0.695 0.008  0.04
Pu 0.616 0.634 0.133  -5.39
Zn 0.997 0.253 0.253  0.01
Zn 0.003 0.747 0.747  0.01
Zn 0.124 0.505 0.248  -0.01